1.
This record from Alexandria describes crystalline V2AsAu at its relaxed geometry. The functional is PBE.

Structure (POSCAR):
```
V2AsAu
1.0
3.5160 0.0000 0.0000
1.7580 3.0449 0.0000
1.7580 1.0150 6.3636
As Au V
1 1 2
Direct
0.0000 0.0000 0.0000
0.5000 0.5000 0.5000
0.2649 0.2649 0.2052
0.7351 0.7351 0.7948
```

Calculated values
- E (eV/atom) = -6.42
- size of the total moment (μB/cell) = 0.88
- formation energy from the elements (eV/atom) = 0.12

---

2.
This record from Alexandria describes crystalline K2SiOsW at its relaxed geometry. The functional is PBE.

Structure (POSCAR):
```
K2SiOsW
1.0
6.0363 0.0000 0.0000
0.0000 6.0363 0.0000
0.0000 0.0000 4.5084
K Os Si W
2 1 1 1
Direct
0.0000 0.5000 0.0000
0.5000 0.0000 0.0000
0.0000 0.0000 0.5000
0.0000 0.0000 0.0000
0.5000 0.5000 0.5000
```

Calculated values
- E (eV/atom) = -4.37
- size of the total moment (μB/cell) = 5.34

---

3.
This record from Alexandria describes crystalline CuPtSe2 at its relaxed geometry. The functional is PBE.

Structure (POSCAR):
```
CuPtSe2
1.0
-3.8964 -1.7671 0.0790
2.7757 0.5852 -3.2037
2.8583 -6.2428 1.3361
Cu Pt Se
1 1 2
Direct
0.5000 0.5000 0.2500
0.5000 0.5000 0.7500
0.0000 0.0000 0.9964
0.0000 0.0000 0.5036
```

Calculated values
- E (eV/atom) = -4.06
- size of the total moment (μB/cell) = 0.00

---

4.
This record from Alexandria describes crystalline GaFe2NiB at its relaxed geometry. The functional is PBE.

Structure (POSCAR):
```
GaFe2NiB
1.0
4.5143 0.0000 0.0000
0.0000 3.7282 0.0000
0.0000 0.0000 4.5143
Ni B Fe Ga
1 1 2 1
Direct
0.0000 0.0000 0.0000
0.0000 0.5000 0.0000
0.0000 0.0000 0.5000
0.5000 0.0000 0.0000
0.5000 0.5000 0.5000
```

Calculated values
- E (eV/atom) = -5.66
- size of the total moment (μB/cell) = 6.20
- formation energy from the elements (eV/atom) = 0.83

---

5.
This record from Alexandria describes crystalline CdPbCl2 at its relaxed geometry. The functional is PBE.

Structure (POSCAR):
```
CdPbCl2
1.0
5.2629 0.0000 0.0000
2.6315 4.5578 0.0000
2.6315 1.5193 4.2972
Pb Cl Cd
1 2 1
Direct
0.2500 0.2500 0.2500
0.0000 0.0000 0.0000
0.7500 0.7500 0.7500
0.5000 0.5000 0.5000
```

Calculated values
- E (eV/atom) = -2.48
- size of the total moment (μB/cell) = 0.00
- relative energy among the computed polymorphs (meV per atom) = 297

---

6.
This record from Alexandria describes crystalline PmY6Zr at its relaxed geometry. The functional is PBE.

Structure (POSCAR):
```
PmY6Zr
1.0
-4.9972 2.9696 -1.8305
-5.1493 -1.6970 4.5345
-2.8213 7.0184 2.1828
Pm Y Zr
1 6 1
Direct
0.0000 0.0000 0.0000
0.7588 0.8674 0.7532
0.5021 0.7413 0.4991
0.4979 0.2587 0.5009
0.2412 0.1326 0.2468
0.2568 0.6216 0.2406
0.7432 0.3784 0.7594
0.0000 0.5000 0.0000
```

Calculated values
- E (eV/atom) = -6.44
- size of the total moment (μB/cell) = 0.00
- formation energy from the elements (eV/atom) = 0.07

---

7.
This record from Alexandria describes crystalline InCuRh2F at its relaxed geometry. The functional is PBE.

Structure (POSCAR):
```
InCuRh2F
1.0
-2.5916 2.7305 3.2986
-4.0023 -0.6505 -2.6060
-1.0311 -4.1402 2.6170
F Rh Cu In
1 2 1 1
Direct
0.5000 0.5000 0.5000
0.0000 0.0000 0.5000
0.5000 0.0000 0.0000
0.0000 0.5000 0.0000
0.0000 0.0000 0.0000
```

Calculated values
- E (eV/atom) = -3.57
- size of the total moment (μB/cell) = 1.84
- relative energy among the computed polymorphs (meV per atom) = 802

---

8.
This record from Alexandria describes crystalline NaSrCl2 at its relaxed geometry. The functional is PBE.

Structure (POSCAR):
```
NaSrCl2
1.0
0.0000 3.7638 3.7638
3.7638 0.0000 3.7638
3.7638 3.7638 0.0000
Sr Na Cl
1 1 2
Direct
0.5000 0.5000 0.5000
0.0000 0.0000 0.0000
0.2500 0.2500 0.2500
0.7500 0.7500 0.7500
```

Calculated values
- E (eV/atom) = -3.15
- size of the total moment (μB/cell) = 0.61
- relative energy among the computed polymorphs (meV per atom) = 257

---

Q: Which formula does entry 8 have?
A: NaSrCl2

---

Q: Number 1 is which compound?
A: V2AsAu

---

Q: Look up the E of the fourth one.
A: -5.66 eV/atom